No. 1
VASP calculation (PBE) on PuThZn4 after structural relaxation.

Calculated total energy in eV/atom: -4.572
Total moment in μB/atom: 1.131
Energy above the most stable polymorph in this dataset in eV/atom: 0.107
Formation energy from the elements in eV/atom: -0.0972

Unit cell a=8.2169 b=8.2169 c=8.2169 alpha=150.75 beta=150.75 gamma=41.84
Last column: nearest neighbours and their distance in Å.
Atoms (fractional coordinates):
Pu 0.0000 0.0000 0.0000  12 Zn 3.19-3.30
Th 0.7500 0.2500 0.5000  12 Zn 3.20-3.32
Zn 0.1674 0.6674 0.5000  3 Zn 2.46-2.54
Zn 0.3326 0.8326 0.5000  3 Zn 2.46-2.54
Zn 0.4186 0.4186 0.0000  3 Zn 2.46-2.50
Zn 0.5814 0.5814 0.0000  3 Zn 2.46-2.50

No. 2
VASP calculation (PBE) on Pu2ThZn6 after structural relaxation.

Calculated total energy in eV/atom: -5.048
Total moment in μB/atom: 1.243
Formation energy from the elements in eV/atom: -0.1891

Unit cell a=8.1309 b=8.1309 c=3.1786 alpha=90.00 beta=90.00 gamma=120.00
Last column: nearest neighbours and their distance in Å.
Atoms (fractional coordinates):
Pu 0.3333 0.6667 0.0000  12 Zn 3.13, 2 Pu 3.18
Pu 0.6667 0.3333 0.0000  12 Zn 3.13, 2 Pu 3.18
Th 0.0000 0.0000 0.0000  12 Zn 3.17, 2 Th 3.18
Zn 0.0000 0.3367 0.5000  3 Zn 2.66-2.74
Zn 0.0000 0.6633 0.5000  3 Zn 2.66-2.74
Zn 0.3367 0.0000 0.5000  3 Zn 2.66-2.74
Zn 0.3367 0.3367 0.5000  3 Zn 2.66-2.74
Zn 0.6633 0.0000 0.5000  3 Zn 2.66-2.74
Zn 0.6633 0.6633 0.5000  3 Zn 2.66-2.74

No. 3
VASP calculation (PBE) on PuTh2Zn6 after structural relaxation.

Calculated total energy in eV/atom: -4.308
Total moment in μB/atom: 0.636
Formation energy from the elements in eV/atom: -0.2176

Unit cell a=7.9856 b=7.9856 c=3.4380 alpha=90.00 beta=90.00 gamma=120.00
Last column: nearest neighbours and their distance in Å.
Atoms (fractional coordinates):
Pu 0.0000 0.0000 0.0000  12 Zn 3.15, 2 Pu 3.44
Th 0.3333 0.6667 0.0000  12 Zn 3.18, 2 Th 3.44
Th 0.6667 0.3333 0.0000  12 Zn 3.18, 2 Th 3.44
Zn 0.0000 0.3299 0.5000  3 Zn 2.63-2.72
Zn 0.0000 0.6701 0.5000  3 Zn 2.63-2.72
Zn 0.3299 0.0000 0.5000  3 Zn 2.63-2.72
Zn 0.3299 0.3299 0.5000  3 Zn 2.63-2.72
Zn 0.6701 0.0000 0.5000  3 Zn 2.63-2.72
Zn 0.6701 0.6701 0.5000  3 Zn 2.63-2.72

No. 4
VASP calculation (PBE) on Pu3ThZn8 after structural relaxation.

Calculated total energy in eV/atom: -5.229
Total moment in μB/atom: 1.449
Formation energy from the elements in eV/atom: -0.1783

Unit cell a=5.5352 b=5.5352 c=8.7291 alpha=90.00 beta=90.00 gamma=120.00
Last column: nearest neighbours and their distance in Å.
Atoms (fractional coordinates):
Pu 0.0000 0.0000 0.0000  12 Zn 3.14-3.24, 4 Pu 3.25-3.35
Pu 0.0000 0.0000 0.3721  12 Zn 3.20-3.25, 1 Pu 3.25, 3 Th 3.38
Pu 0.3333 0.6667 0.8841  12 Zn 3.09-3.25, 3 Pu 3.35, 1 Th 3.38
Th 0.3333 0.6667 0.4971  12 Zn 3.15-3.24, 4 Pu 3.38
Zn 0.3315 0.1657 0.6897  6 Zn 2.69-2.78
Zn 0.5012 0.0025 0.1865  6 Zn 2.69-2.79
Zn 0.5012 0.4988 0.1865  6 Zn 2.69-2.79
Zn 0.6667 0.3333 0.4381  6 Zn 2.71-2.72
Zn 0.6667 0.3333 0.9371  6 Zn 2.69
Zn 0.8343 0.1657 0.6897  6 Zn 2.69-2.78
Zn 0.8343 0.6685 0.6897  6 Zn 2.69-2.78
Zn 0.9975 0.4988 0.1865  6 Zn 2.69-2.79

No. 5
VASP calculation (PBE) on PuThZn10 after structural relaxation.

Calculated total energy in eV/atom: -3.050
Total moment in μB/atom: 0.464
Formation energy from the elements in eV/atom: -0.1756

Unit cell a=4.2439 b=5.3834 c=9.3150 alpha=90.00 beta=90.00 gamma=90.00
Last column: nearest neighbours and their distance in Å.
Atoms (fractional coordinates):
Pu 0.0000 0.0000 0.0000  10 Zn 3.06-3.43
Th 0.0000 0.5000 0.5000  18 Zn 3.13-3.43
Zn 0.0000 0.0000 0.3286  6 Zn 2.62-2.66
Zn 0.0000 0.0000 0.6714  6 Zn 2.62-2.66
Zn 0.0000 0.5000 0.1619  6 Zn 2.60-2.64
Zn 0.0000 0.5000 0.8381  6 Zn 2.60-2.64
Zn 0.5000 0.0000 0.5000  8 Zn 2.66-2.69
Zn 0.5000 0.2514 0.2509  8 Zn 2.62-2.71
Zn 0.5000 0.2514 0.7491  8 Zn 2.62-2.71
Zn 0.5000 0.5000 0.0000  8 Zn 2.60-2.69
Zn 0.5000 0.7486 0.2509  8 Zn 2.62-2.71
Zn 0.5000 0.7486 0.7491  8 Zn 2.62-2.71

No. 6
VASP calculation (PBE) on PuThZn4 after structural relaxation.

Calculated total energy in eV/atom: -4.659
Total moment in μB/atom: 0.954
Energy above the most stable polymorph in this dataset in eV/atom: 0.019
Formation energy from the elements in eV/atom: -0.1847

Unit cell a=5.5115 b=5.5115 c=5.5115 alpha=60.00 beta=60.00 gamma=60.00
Last column: nearest neighbours and their distance in Å.
Atoms (fractional coordinates):
Pu 0.0000 0.0000 0.0000  12 Zn 3.23, 4 Th 3.38
Th 0.7500 0.7500 0.7500  12 Zn 3.23, 4 Pu 3.38
Zn 0.3745 0.3745 0.3745  6 Zn 2.74-2.77
Zn 0.3745 0.3745 0.8766  6 Zn 2.74-2.77
Zn 0.3745 0.8766 0.3745  6 Zn 2.74-2.77
Zn 0.8766 0.3745 0.3745  6 Zn 2.74-2.77

No. 7
VASP calculation (PBE) on Pu2ThZn after structural relaxation.

Calculated total energy in eV/atom: -9.298
Total moment in μB/atom: 2.916
Energy above the most stable polymorph in this dataset in eV/atom: 0.000
Formation energy from the elements in eV/atom: 0.0413

Unit cell a=4.4708 b=4.4708 c=5.0234 alpha=90.00 beta=90.00 gamma=90.00
Last column: nearest neighbours and their distance in Å.
Atoms (fractional coordinates):
Pu 0.0000 0.5000 0.0000  4 Pu 3.16, 4 Th 3.36, 4 Zn 3.36
Pu 0.5000 0.0000 0.0000  4 Pu 3.16, 4 Th 3.36, 4 Zn 3.36
Th 0.0000 0.0000 0.5000  4 Zn 3.16, 8 Pu 3.36
Zn 0.5000 0.5000 0.5000  4 Th 3.16, 8 Pu 3.36

No. 8
VASP calculation (PBE) on Pu2ThZn after structural relaxation.

Calculated total energy in eV/atom: -9.262
Total moment in μB/atom: 2.859
Energy above the most stable polymorph in this dataset in eV/atom: 0.036
Formation energy from the elements in eV/atom: 0.0776

Unit cell a=3.6134 b=3.6134 c=7.8233 alpha=90.00 beta=90.00 gamma=90.00
Last column: nearest neighbours and their distance in Å.
Atoms (fractional coordinates):
Pu 0.0000 0.0000 0.2151  4 Zn 3.06, 1 Pu 3.36, 4 Th 3.39
Pu 0.0000 0.0000 0.7849  4 Zn 3.06, 1 Pu 3.36, 4 Th 3.39
Th 0.5000 0.5000 0.5000  8 Pu 3.39, 4 Th 3.61
Zn 0.5000 0.5000 0.0000  8 Pu 3.06

No. 9
VASP calculation (PBE) on PuThZr after structural relaxation.

Calculated total energy in eV/atom: -9.931
Total moment in μB/atom: 1.889
Energy above the most stable polymorph in this dataset in eV/atom: 0.012
Formation energy from the elements in eV/atom: 0.1691

Unit cell a=5.8884 b=5.8884 c=5.8884 alpha=141.12 beta=141.12 gamma=56.16
Last column: nearest neighbours and their distance in Å.
Atoms (fractional coordinates):
Pu 0.0000 0.0000 0.0000  4 Zr 3.16, 5 Th 3.32-3.36
Th 0.3234 0.3234 0.0000  5 Zr 3.32-3.36, 5 Pu 3.32-3.36
Zr 0.6469 0.6469 0.0000  4 Pu 3.16, 5 Th 3.32-3.36

No. 10
VASP calculation (PBE) on Pu2ThZr after structural relaxation.

Calculated total energy in eV/atom: -10.297
Total moment in μB/atom: 0.410
Energy above the most stable polymorph in this dataset in eV/atom: 0.690
Formation energy from the elements in eV/atom: 0.8610

Unit cell a=5.9491 b=5.9491 c=5.9491 alpha=46.28 beta=46.28 gamma=46.28
Last column: nearest neighbours and their distance in Å.
Atoms (fractional coordinates):
Pu 0.1711 0.1711 0.1711  3 Zr 2.70, 3 Pu 2.70, 1 Th 2.72
Pu 0.8289 0.8289 0.8289  3 Zr 2.70, 3 Pu 2.70, 1 Th 2.72
Th 0.0000 0.0000 0.0000  2 Pu 2.72
Zr 0.5000 0.5000 0.5000  6 Pu 2.70

No. 11
VASP calculation (PBE) on Pu2ThZr after structural relaxation.

Calculated total energy in eV/atom: -10.987
Total moment in μB/atom: 2.805
Energy above the most stable polymorph in this dataset in eV/atom: 0.000
Formation energy from the elements in eV/atom: 0.1713

Unit cell a=4.7140 b=4.7140 c=4.7929 alpha=90.00 beta=90.00 gamma=90.00
Last column: nearest neighbours and their distance in Å.
Atoms (fractional coordinates):
Pu 0.0000 0.5000 0.0000  4 Pu 3.33, 4 Zr 3.36, 4 Th 3.36
Pu 0.5000 0.0000 0.0000  4 Pu 3.33, 4 Zr 3.36, 4 Th 3.36
Th 0.0000 0.0000 0.5000  4 Zr 3.33, 8 Pu 3.36
Zr 0.5000 0.5000 0.5000  4 Th 3.33, 8 Pu 3.36

No. 12
VASP calculation (PBE) on Pu2ThZr after structural relaxation.

Calculated total energy in eV/atom: -10.972
Total moment in μB/atom: 2.663
Energy above the most stable polymorph in this dataset in eV/atom: 0.015
Formation energy from the elements in eV/atom: 0.1862

Unit cell a=3.3477 b=3.3477 c=9.3503 alpha=90.00 beta=90.00 gamma=90.00
Last column: nearest neighbours and their distance in Å.
Atoms (fractional coordinates):
Pu 0.0000 0.0000 0.2393  4 Zr 3.26, 4 Pu 3.35, 4 Th 3.40
Pu 0.0000 0.0000 0.7607  4 Zr 3.26, 4 Pu 3.35, 4 Th 3.40
Th 0.5000 0.5000 0.5000  4 Th 3.35, 8 Pu 3.40
Zr 0.5000 0.5000 0.0000  8 Pu 3.26, 4 Zr 3.35

No. 13
VASP calculation (PBE) on PuThZr after structural relaxation.

Calculated total energy in eV/atom: -9.943
Total moment in μB/atom: 1.809
Energy above the most stable polymorph in this dataset in eV/atom: 0.000
Formation energy from the elements in eV/atom: 0.1570

Unit cell a=16.2500 b=16.2500 c=16.2500 alpha=12.03 beta=12.03 gamma=12.03
Last column: nearest neighbours and their distance in Å.
Atoms (fractional coordinates):
Pu 0.0877 0.0877 0.0877  3 Zr 3.25, 6 Pu 3.41, 3 Th 3.41
Pu 0.9123 0.9123 0.9123  3 Zr 3.25, 6 Pu 3.41, 3 Th 3.41
Th 0.3634 0.3634 0.3634  9 Th 3.41-3.51, 3 Pu 3.41
Th 0.6366 0.6366 0.6366  9 Th 3.41-3.51, 3 Pu 3.41
Zr 0.1923 0.1923 0.1923  9 Zr 3.16-3.41, 3 Pu 3.25
Zr 0.8077 0.8077 0.8077  9 Zr 3.16-3.41, 3 Pu 3.25

No. 14
VASP calculation (PBE) on PuThZr after structural relaxation.

Calculated total energy in eV/atom: -9.938
Total moment in μB/atom: 1.806
Energy above the most stable polymorph in this dataset in eV/atom: 0.005
Formation energy from the elements in eV/atom: 0.1624

Unit cell a=3.3976 b=3.3976 c=8.0878 alpha=90.00 beta=90.00 gamma=120.00
Last column: nearest neighbours and their distance in Å.
Atoms (fractional coordinates):
Pu 0.0000 0.0000 0.0000  3 Zr 3.28, 3 Th 3.38, 6 Pu 3.40
Th 0.3333 0.6667 0.6602  3 Zr 3.35, 3 Pu 3.38, 6 Th 3.40
Zr 0.6667 0.3333 0.3245  3 Pu 3.28, 3 Th 3.35, 6 Zr 3.40